[1]
The following is a DFT calculation (GGA-PBE) of a geometry-optimized TaInBr structure.

a b c (Å): 7.6473 7.6473 7.6473
angles (deg): 156.49 156.49 33.49
Closest atoms and distances in Å follow each position.
Element x y z (fractional)
In  0.3035  0.3035  0.0000  4 Ta 3.09, 4 In 3.12
Br  0.0407  0.0407  0.0000  4 Ta 2.77
Ta  0.6558  0.6558  0.0000  4 Br 2.77, 4 In 3.09

## Properties
Offset from the most stable computed form = 20.0 kJ per mole of atoms
Calculated volume = 71.09 Å³/cell

***

[2]
The following is a DFT calculation (GGA-PBE) of a geometry-optimized TcHg2Sb structure.

a b c (Å): 3.2532 3.2532 8.6004
angles (deg): 90.00 90.00 90.00
Closest atoms and distances in Å follow each position.
Element x y z (fractional)
Hg  0.0000  0.0000  0.9490  4 Tc 2.93, 4 Hg 3.25
Hg  0.5000  0.5000  0.2490  8 Hg 3.25-3.46, 4 Sb 3.56
Sb  0.0000  0.0000  0.5648  4 Tc 2.74
Tc  0.5000  0.5000  0.7372  4 Sb 2.74, 4 Hg 2.93

## Properties
Calculated volume = 91.02 Å³/cell
DFT total energy = -0.1286 Ha/atom

***

[3]
The following is a DFT calculation (GGA-PBE) of a geometry-optimized BeCuRu2 structure.

a b c (Å): 4.7452 4.7452 4.0944
angles (deg): 64.44 64.44 35.46
Closest atoms and distances in Å follow each position.
Element x y z (fractional)
Ru  0.9983  0.9983  0.0014  4 Be 2.51, 4 Ru 2.62-2.76, 4 Cu 2.64-2.74
Ru  0.7694  0.7694  0.7310  2 Be 2.40, 4 Cu 2.53, 2 Ru 2.62
Cu  0.2243  0.2243  0.2761  2 Be 2.27, 4 Ru 2.53
Be  0.5079  0.5079  0.4916  2 Cu 2.27, 6 Ru 2.40-2.51

## Properties
Calculated volume = 47.68 Å³/cell
ΔH_f (0 K) = 0.020 eV per atom

***

[4]
The following is a DFT calculation (GGA-PBE) of a geometry-optimized CrWSe4 structure.

a b c (Å): 5.5606 5.5606 5.5606
angles (deg): 60.00 60.00 60.00
Closest atoms and distances in Å follow each position.
Element x y z (fractional)
Cr  0.0000  0.0000  0.0000  12 Se 3.26, 4 W 3.41
W  0.7500  0.7500  0.7500  12 Se 3.26, 4 Cr 3.41
Se  0.8747  0.3751  0.3751  6 Se 2.78
Se  0.3751  0.3751  0.8747  6 Se 2.78
Se  0.3751  0.8747  0.3751  6 Se 2.78
Se  0.3751  0.3751  0.3751  6 Se 2.78

## Properties
Calculated volume = 121.58 Å³/cell
DFT total energy = -0.1741 Ha/atom

***

[5]
The following is a DFT calculation (GGA-PBE) of a geometry-optimized SmEuH structure.

a b c (Å): 3.8150 7.2743 6.6889
angles (deg): 62.67 90.01 105.22
Closest atoms and distances in Å follow each position.
Element x y z (fractional)
Eu  0.1270  0.7539  0.5345  1 H 2.36
Eu  0.8730  0.2461  0.4655  1 H 2.36
H  0.1829  0.8658  0.1417  3 Sm 2.25-2.27, 1 Eu 2.36
H  0.8171  0.1342  0.8583  3 Sm 2.25-2.27, 1 Eu 2.36
Sm  0.6328  0.7658  0.0399  3 H 2.25-2.27
Sm  0.3672  0.2342  0.9601  3 H 2.25-2.27

## Properties
Offset from the most stable computed form = 0.0 kJ per mole of atoms
Calculated volume = 157.56 Å³/cell

***

[6]
The following is a DFT calculation (GGA-PBE) of a geometry-optimized Pr2DyMg9 structure.

a b c (Å): 6.0865 6.0865 10.4725
angles (deg): 73.11 73.11 60.00
Closest atoms and distances in Å follow each position.
Element x y z (fractional)
Pr  0.8586  0.8586  0.4242  12 Mg 3.51-3.68, 3 Pr 3.82
Pr  0.1414  0.1414  0.5758  12 Mg 3.51-3.68, 3 Pr 3.82
Dy  0.0000  0.0000  0.0000  18 Mg 3.51-3.90
Mg  0.6661  0.6661  0.0016  6 Mg 3.00-3.01
Mg  0.3339  0.3339  0.9984  6 Mg 3.00-3.01
Mg  0.5000  0.5000  0.5000  6 Mg 3.06
Mg  0.4161  0.4161  0.2474  7 Mg 3.00-3.07
Mg  0.9204  0.4161  0.2474  7 Mg 3.00-3.07
Mg  0.4161  0.9204  0.2474  7 Mg 3.00-3.07
Mg  0.5839  0.5839  0.7526  7 Mg 3.00-3.07
Mg  0.5839  0.0796  0.7526  7 Mg 3.00-3.07
Mg  0.0796  0.5839  0.7526  7 Mg 3.00-3.07

## Properties
Calculated volume = 316.50 Å³/cell
ΔH_f (0 K) = -0.048 eV per atom

***

[7]
The following is a DFT calculation (GGA-PBE) of a geometry-optimized Sr4Pb2Br structure.

a b c (Å): 5.8123 5.8123 9.5244
angles (deg): 72.23 72.23 90.00
Closest atoms and distances in Å follow each position.
Element x y z (fractional)
Pb  0.6167  0.6167  0.7666  5 Sr 3.31-3.53
Pb  0.3833  0.3833  0.2334  5 Sr 3.31-3.53
Sr  0.8092  0.8092  0.3817  1 Br 3.28, 1 Pb 3.31
Sr  0.1908  0.1908  0.6183  1 Br 3.28, 1 Pb 3.31
Sr  0.0000  0.5000  0.0000  2 Br 2.91
Sr  0.5000  0.0000  0.0000  2 Br 2.91
Br  0.0000  0.0000  0.0000  4 Sr 2.91

## Properties
Calculated volume = 290.26 Å³/cell
DFT total energy = -0.1077 Ha/atom

***

[8]
The following is a DFT calculation (GGA-PBE) of a geometry-optimized Na2CrAsS structure.

a b c (Å): 5.3482 4.6743 5.3482
angles (deg): 90.00 90.00 90.00
Closest atoms and distances in Å follow each position.
Element x y z (fractional)
Cr  0.0000  0.5000  0.0000  2 As 2.34
As  0.0000  0.0000  0.0000  2 Cr 2.34
S  0.5000  0.5000  0.5000  8 Na 3.55, 4 Cr 3.78
Na  0.0000  0.0000  0.5000  2 As 2.67
Na  0.5000  0.0000  0.0000  2 As 2.67

## Properties
Calculated volume = 133.70 Å³/cell
DFT total energy = -0.1512 Ha/atom

***

Result set for density of states at the Fermi level: 2.60 2.52 2.89 4.59 5.97 11.33 4.19 3.14 states/eV/f.u., one per record in the order listed.